VASP calculation (PBE-GGA) on a relaxed structure of PtSeN2F.

Values from the calculation:
- Formation energy (no corrections): 1085.2 meV per atom
- Electronic total energy: -4.524 eV per atom

a b c (Å): 3.7285 3.7285 5.8508
angles (deg): 90.00 90.00 90.00
With the nearest neighbours (Å) after each atom.
Fractional coordinates of all 5 atoms:
1 Pt 0.0000 0.0000 0.0000  4 N 1.86
2 Se 0.0000 0.0000 0.5000  4 F 2.64, 2 Pt 2.93
3 N 0.0000 0.5000 0.0000  2 Pt 1.86
4 N 0.5000 0.0000 0.0000  2 Pt 1.86
5 F 0.5000 0.5000 0.5000  4 Se 2.64